8
Lattice="7.234 0.000 0.000 0.000 4.218 0.000 -2.267 0.000 6.888" Properties=species:S:1:pos:R:3 comment="LiSnPb2Se4 (PBE-GGA, relaxed)" m_tot_mub_per_cell=0.0 total_energy_ev_per_atom=-4.009 pbc="T T T"
Li 0.000 0.000 0.000
Sn -1.134 2.109 3.444
Pb 2.484 0.000 3.444
Pb 3.617 2.109 0.000
Se -0.064 0.000 5.176
Se 1.095 2.109 1.659
Se 5.031 0.000 1.712
Se 3.872 2.109 5.229